This record from the Alexandria database describes NdBeCu4 at its PBEsol-relaxed geometry. The functional is SCAN.

**Final energy**: -18.285 eV/atom
**Magnetization**: 0.0000 μB/atom
**Energy of formation**: -163.1 meV/atom
**Space-group type**: No. 187

abc: 3.7991 5.0956 5.0956
angles: 120.00 90.00 90.00
Sites, in units of the cell vectors:
Cu  0.0000  0.3333  0.6667
Cu  0.5000  0.9902  0.4951
Cu  0.5000  0.5049  0.4951
Cu  0.5000  0.5049  0.0098
Be  0.0000  0.6667  0.3333
Nd  0.0000  0.0000  0.0000

This record from the Alexandria database describes V2Se9 at its PBEsol-relaxed geometry. The functional is SCAN.

**Final energy**: -20.064 eV/atom
**Magnetization**: 0.0000 μB/atom
**Space-group type**: No. 15

abc: 8.0018 8.1463 8.1463
angles: 100.08 93.84 93.84
Sites, in units of the cell vectors:
Se  0.8211  0.9964  0.6767
Se  0.9546  0.4073  0.7024
Se  0.1124  0.2943  0.9078
Se  0.5454  0.2976  0.5927
Se  0.7500  0.5849  0.4151
Se  0.0590  0.8508  0.6797
Se  0.5590  0.6797  0.8508
Se  0.1789  0.0036  0.3233
Se  0.3876  0.0922  0.7057
Se  0.2500  0.4151  0.5849
Se  0.4546  0.7024  0.4073
Se  0.4410  0.3203  0.1492
Se  0.3211  0.6767  0.9964
Se  0.9410  0.1492  0.3203
Se  0.6124  0.9078  0.2943
Se  0.0454  0.5927  0.2976
Se  0.8876  0.7057  0.0922
Se  0.6789  0.3233  0.0036
V  0.9167  0.8624  0.4002
V  0.5833  0.5998  0.1376
V  0.4167  0.4002  0.8624
V  0.0833  0.1376  0.5998

This record from the Alexandria database describes BeTlIr3 at its PBEsol-relaxed geometry. The functional is SCAN.

**Final energy**: -57.582 eV/atom
**Magnetization**: 0.0000 μB/atom
**Energy of formation**: 420.1 meV/atom
**Space-group type**: No. 221

abc: 4.1927 4.1927 4.1927
angles: 90.00 90.00 90.00
Sites, in units of the cell vectors:
Ir  0.5000  0.0000  0.0000
Ir  0.0000  0.5000  0.0000
Ir  0.0000  0.0000  0.5000
Be  0.0000  0.0000  0.0000
Tl  0.5000  0.5000  0.5000

This record from the Alexandria database describes V2SO8 at its PBEsol-relaxed geometry. The functional is SCAN.

**Final energy**: -10.605 eV/atom
**Magnetization**: 0.0053 μB/atom
**Space-group type**: No. 62

abc: 5.7355 9.5857 13.1474
angles: 90.00 90.00 90.00
Sites, in units of the cell vectors:
O  0.7282  0.9637  0.0477
O  0.0024  0.1122  0.7500
O  0.7476  0.4493  0.3399
O  0.5024  0.3878  0.7500
O  0.2476  0.0507  0.1601
O  0.7718  0.4637  0.9523
O  0.9976  0.8878  0.2500
O  0.2282  0.5363  0.4523
O  0.7524  0.9493  0.6601
O  0.7718  0.4637  0.5477
O  0.5945  0.6414  0.7500
O  0.2524  0.5507  0.8399
O  0.9682  0.7489  0.5321
O  0.2476  0.0507  0.3399
O  0.4682  0.7511  0.5321
O  0.7476  0.4493  0.1601
O  0.4055  0.3586  0.2500
O  0.5318  0.2489  0.4679
O  0.9055  0.1414  0.2500
O  0.4682  0.7511  0.9679
O  0.4976  0.6122  0.2500
O  0.7524  0.9493  0.8399
O  0.2282  0.5363  0.0477
O  0.2524  0.5507  0.6601
O  0.2718  0.0363  0.5477
O  0.0318  0.2511  0.0321
O  0.2718  0.0363  0.9523
O  0.9682  0.7489  0.9679
O  0.0318  0.2511  0.4679
O  0.7282  0.9637  0.4523
O  0.5318  0.2489  0.0321
O  0.0945  0.8586  0.7500
V  0.7764  0.3540  0.0427
V  0.2764  0.1460  0.0427
V  0.7236  0.8540  0.5427
V  0.2236  0.6460  0.9573
V  0.7236  0.8540  0.9573
V  0.2764  0.1460  0.4573
V  0.7764  0.3540  0.4573
V  0.2236  0.6460  0.5427
S  0.4282  0.5294  0.7500
S  0.5718  0.4706  0.2500
S  0.9282  0.9706  0.7500
S  0.0718  0.0294  0.2500

This record from the Alexandria database describes AlBrCl2 at its PBEsol-relaxed geometry. The functional is SCAN.

**Final energy**: -11.028 eV/atom
**Magnetization**: 0.1175 μB/atom
**Space-group type**: No. 99

abc: 3.2200 3.2200 7.9038
angles: 90.00 90.00 90.00
Sites, in units of the cell vectors:
Al  0.0000  0.0000  0.4943
Br  0.5000  0.5000  0.6941
Cl  0.0000  0.0000  0.0008
Cl  0.5000  0.5000  0.3108

This record from the Alexandria database describes Cd4PtW at its PBEsol-relaxed geometry. The functional is SCAN.

**Final energy**: -42.761 eV/atom
**Magnetization**: 0.0000 μB/atom
**Energy of formation**: 829.2 meV/atom
**Space-group type**: No. 216

abc: 5.3608 5.3608 5.3608
angles: 60.00 60.00 60.00
Sites, in units of the cell vectors:
Cd  0.3746  0.3746  0.8761
Cd  0.3746  0.8761  0.3746
Cd  0.3746  0.3746  0.3746
Cd  0.8761  0.3746  0.3746
W  0.0000  0.0000  0.0000
Pt  0.7500  0.7500  0.7500

This record from the Alexandria database describes Rh2C at its PBEsol-relaxed geometry. The functional is SCAN.

**Final energy**: -25.502 eV/atom
**Magnetization**: 0.0000 μB/atom
**Energy of formation**: 379.4 meV/atom
**Space-group type**: No. 187

abc: 2.7528 2.7528 5.2363
angles: 90.00 90.00 120.00
Sites, in units of the cell vectors:
Rh  0.3333  0.6667  0.7571
Rh  0.3333  0.6667  0.2429
C  0.0000  0.0000  0.5000

This record from the Alexandria database describes HoTlPd at its PBEsol-relaxed geometry. The functional is SCAN.

**Final energy**: -52.147 eV/atom
**Magnetization**: 0.0000 μB/atom
**Energy of formation**: -773.3 meV/atom
**Space-group type**: No. 189

abc: 3.7791 7.6289 7.6289
angles: 120.00 90.00 90.00
Sites, in units of the cell vectors:
Tl  0.0000  0.2657  0.0000
Tl  0.0000  0.7343  0.7343
Tl  0.0000  0.0000  0.2657
Ho  0.5000  0.4049  0.4049
Ho  0.5000  0.5951  0.0000
Ho  0.5000  0.0000  0.5951
Pd  0.0000  0.3333  0.6667
Pd  0.5000  0.0000  0.0000
Pd  0.0000  0.6667  0.3333

This record from the Alexandria database describes ZrTe2Pb at its PBEsol-relaxed geometry. The functional is SCAN.

**Final energy**: -45.872 eV/atom
**Magnetization**: 0.0000 μB/atom
**Space-group type**: No. 166

abc: 3.7404 3.7404 10.3335
angles: 79.57 79.57 60.00
Sites, in units of the cell vectors:
Pb  0.0000  0.0000  0.0000
Te  0.1048  0.1048  0.6857
Te  0.8952  0.8952  0.3143
Zr  0.5000  0.5000  0.5000

This record from the Alexandria database describes BaFeRe2 at its PBEsol-relaxed geometry. The functional is SCAN.

**Final energy**: -48.687 eV/atom
**Magnetization**: 0.5142 μB/atom
**Energy of formation**: 1281.5 meV/atom
**Space-group type**: No. 44

abc: 3.0760 5.5574 5.7282
angles: 119.02 105.57 90.00
Sites, in units of the cell vectors:
Re  0.6976  0.1976  0.3953
Re  0.0020  0.0020  0.0040
Fe  0.2972  0.7972  0.5943
Ba  0.5032  0.5032  0.0063

This record from the Alexandria database describes ReIr2Pt at its PBEsol-relaxed geometry. The functional is SCAN.

**Final energy**: -70.997 eV/atom
**Magnetization**: 0.0000 μB/atom
**Energy of formation**: -125.0 meV/atom
**Space-group type**: No. 47

abc: 2.7210 3.8459 5.4884
angles: 90.00 90.00 90.00
Sites, in units of the cell vectors:
Ir  0.0000  0.0000  0.7416
Ir  0.0000  0.0000  0.2584
Re  0.5000  0.5000  0.5000
Pt  0.5000  0.5000  0.0000

This record from the Alexandria database describes CoCuRe2 at its PBEsol-relaxed geometry. The functional is SCAN.

**Final energy**: -43.420 eV/atom
**Magnetization**: 0.3488 μB/atom
**Energy of formation**: 254.3 meV/atom
**Space-group type**: No. 12

abc: 2.6401 4.5760 4.5533
angles: 100.18 106.85 90.00
Sites, in units of the cell vectors:
Re  0.7566  0.7558  0.5131
Re  0.2434  0.2442  0.4869
Co  0.5000  0.0000  0.0000
Cu  0.0000  0.5000  0.0000

This record from the Alexandria database describes KPbCl2 at its PBEsol-relaxed geometry. The functional is SCAN.

**Final energy**: -26.434 eV/atom
**Magnetization**: 0.0000 μB/atom
**Space-group type**: No. 47

abc: 3.6367 3.8864 7.9337
angles: 90.00 90.00 90.00
Sites, in units of the cell vectors:
Pb  0.0000  0.5000  0.0000
K  0.5000  0.5000  0.5000
Cl  0.0000  0.0000  0.2791
Cl  0.0000  0.0000  0.7209

This record from the Alexandria database describes RbAg3Sb at its PBEsol-relaxed geometry. The functional is SCAN.

**Final energy**: -30.297 eV/atom
**Magnetization**: 0.0000 μB/atom
**Space-group type**: No. 221

abc: 5.3264 5.3264 5.3264
angles: 90.00 90.00 90.00
Sites, in units of the cell vectors:
Rb  0.5000  0.5000  0.5000
Ag  0.0000  0.5000  0.0000
Ag  0.5000  0.0000  0.0000
Ag  0.0000  0.0000  0.5000
Sb  0.0000  0.0000  0.0000

This record from the Alexandria database describes Ca2Be at its PBEsol-relaxed geometry. The functional is SCAN.

**Final energy**: -7.624 eV/atom
**Magnetization**: 0.0117 μB/atom
**Energy of formation**: 269.1 meV/atom
**Space-group type**: No. 139

abc: 3.5483 3.5483 6.9381
angles: 104.82 104.82 90.00
Sites, in units of the cell vectors:
Ca  0.1309  0.1309  0.2618
Ca  0.8691  0.8691  0.7382
Be  0.5000  0.5000  0.0000

This record from the Alexandria database describes LiTl2Bi2 at its PBEsol-relaxed geometry. The functional is SCAN.

**Final energy**: -60.926 eV/atom
**Magnetization**: 0.0000 μB/atom
**Energy of formation**: -73.2 meV/atom
**Space-group type**: No. 127

abc: 5.2730 7.4679 7.4679
angles: 90.00 90.00 90.00
Sites, in units of the cell vectors:
Li  0.0000  0.5000  0.5000
Li  0.0000  0.0000  0.0000
Tl  0.5000  0.3341  0.1659
Tl  0.5000  0.1659  0.6659
Tl  0.5000  0.8341  0.3341
Tl  0.5000  0.6659  0.8341
Bi  0.0000  0.8555  0.6445
Bi  0.0000  0.1445  0.3555
Bi  0.0000  0.6445  0.1445
Bi  0.0000  0.3555  0.8555

This record from the Alexandria database describes Ti4P6PbO24 at its PBEsol-relaxed geometry. The functional is SCAN.

**Final energy**: -12.809 eV/atom
**Magnetization**: 0.0000 μB/atom
**Space-group type**: No. 148

abc: 8.3845 8.3845 8.9794
angles: 62.17 62.17 60.00
Sites, in units of the cell vectors:
O  0.1857  0.5501  0.7976
O  0.2686  0.0984  0.7262
O  0.4665  0.1857  0.7976
O  0.7688  0.4816  0.9093
O  0.5501  0.4665  0.7976
O  0.8403  0.7688  0.9093
O  0.9991  0.2106  0.4171
O  0.6267  0.0009  0.5829
O  0.5335  0.8143  0.2024
O  0.8143  0.4499  0.2024
O  0.9068  0.2686  0.7262
O  0.7314  0.9016  0.2738
O  0.4499  0.5335  0.2024
O  0.1597  0.2312  0.0907
O  0.4816  0.8403  0.9093
O  0.2106  0.3733  0.4171
O  0.0984  0.9068  0.7262
O  0.2312  0.5184  0.0907
O  0.0009  0.7894  0.5829
O  0.0932  0.7314  0.2738
O  0.3733  0.9991  0.4171
O  0.9016  0.0932  0.2738
O  0.7894  0.6267  0.5829
O  0.5184  0.1597  0.0907
P  0.4635  0.0297  0.7557
P  0.5365  0.9703  0.2443
P  0.7511  0.4635  0.7557
P  0.0297  0.7511  0.7557
P  0.9703  0.2489  0.2443
P  0.2489  0.5365  0.2443
Ti  0.3553  0.3553  0.9342
Ti  0.8507  0.8507  0.4479
Ti  0.1493  0.1493  0.5521
Ti  0.6447  0.6447  0.0658
Pb  0.0000  0.0000  0.0000

This record from the Alexandria database describes ZnCuCl2 at its PBEsol-relaxed geometry. The functional is SCAN.

**Final energy**: -11.571 eV/atom
**Magnetization**: 0.0000 μB/atom
**Space-group type**: No. 35

abc: 3.3755 3.4561 8.1279
angles: 90.00 90.00 119.23
Sites, in units of the cell vectors:
Cu  0.0000  0.0000  0.5103
Zn  0.5000  0.0000  0.7328
Cl  0.0000  0.0000  0.9253
Cl  0.5000  0.0000  0.3315

This record from the Alexandria database describes Co2PtPb at its PBEsol-relaxed geometry. The functional is SCAN.

**Final energy**: -44.796 eV/atom
**Magnetization**: 0.9246 μB/atom
**Energy of formation**: 349.6 meV/atom
**Space-group type**: No. 12

abc: 2.9528 4.4672 5.0867
angles: 102.47 90.00 109.30
Sites, in units of the cell vectors:
Pt  0.5000  0.0000  0.0000
Pb  0.0000  0.0000  0.5000
Co  0.2455  0.4910  0.1922
Co  0.7545  0.5090  0.8078

This record from the Alexandria database describes CrCoIr2 at its PBEsol-relaxed geometry. The functional is SCAN.

**Final energy**: -44.555 eV/atom
**Magnetization**: 0.0149 μB/atom
**Energy of formation**: -83.7 meV/atom
**Space-group type**: No. 25

abc: 2.6184 3.6676 5.1759
angles: 90.00 90.00 90.00
Sites, in units of the cell vectors:
Co  0.0000  0.0000  0.5046
Cr  0.5000  0.5000  0.7365
Ir  0.5000  0.5000  0.2706
Ir  0.0000  0.0000  0.9882